No. 1
A crystal of Ho5Mg relaxed with PBEsol. Source: Alexandria via LeMat-Bulk, functional meta-GGA SCAN.

It has space group R32 (No. 155, hexagonal axes), with a = 5.9904 Å, b = 5.9904 Å, c = 16.3194 Å, α = 90.00°, β = 90.00° and γ = 120.00°. The distinct sites, in fractional coordinates, are Ho at (0.0000, 0.0000, 0.1674), Ho at (0.0000, 0.6605, 0.0000) and Mg at (0.0000, 0.0000, 0.5000).

As for the formation energy: 0.81 kJ per mole of atoms. Its energy above the most stable polymorph in this dataset is 0.002 eV per atom.


No. 2
A crystal of SrYRh3 relaxed with PBEsol. Source: Alexandria via LeMat-Bulk, functional meta-GGA SCAN.

It has space group Pm-3m (No. 221), with a = 4.8006 Å, b = 4.8006 Å, c = 4.8006 Å, α = 90.00°, β = 90.00° and γ = 90.00°. The distinct sites, in fractional coordinates, are Sr at (0.0000, 0.0000, 0.0000), Y at (0.5000, 0.5000, 0.5000) and Rh at (0.0000, 0.0000, 0.5000).

As for the formation energy: 99.86 kJ per mole of atoms.


No. 3
A crystal of TmMn6Ge6 relaxed with PBEsol. Source: Alexandria via LeMat-Bulk, functional meta-GGA SCAN.

It has space group P6/mmm (No. 191), with a = 5.0738 Å, b = 5.0738 Å, c = 8.0082 Å, α = 90.00°, β = 90.00° and γ = 120.00°. The distinct sites, in fractional coordinates, are Tm at (0.0000, 0.0000, 0.0000), Mn at (0.0000, 0.5000, 0.2500), Ge at (0.0000, 0.0000, 0.3435), Ge at (0.3333, 0.6667, 0.0000) and Ge at (0.3333, 0.6667, 0.5000).

As for the formation energy: -43.00 kJ per mole of atoms.


No. 4
A crystal of Te2RhPb relaxed with PBEsol. Source: Alexandria via LeMat-Bulk, functional meta-GGA SCAN.

It has space group Imm2 (No. 44), with a = 3.3005 Å, b = 4.7822 Å, c = 12.3668 Å, α = 90.00°, β = 90.00° and γ = 90.00°. The distinct sites, in fractional coordinates, are Te at (0.0000, 0.0000, 0.0000), Te at (0.0000, 0.5000, 0.1894), Rh at (0.0000, 0.0000, 0.5222) and Pb at (0.0000, 0.5000, 0.8223).

The uncorrected formation energy is -68 meV/atom.


No. 5
A crystal of CaCrSi4O10 relaxed with PBEsol. Source: Alexandria via LeMat-Bulk, functional meta-GGA SCAN.

It has space group P4/ncc (No. 130, origin choice 2), with a = 7.3723 Å, b = 7.3723 Å, c = 15.2034 Å, α = 90.00°, β = 90.00° and γ = 90.00°. The distinct sites, in fractional coordinates, are Ca at (0.2500, 0.7500, 0.0000), Cr at (0.2500, 0.2500, 0.0795), Si at (0.0014, 0.0764, 0.3530), O at (0.0022, 0.1486, 0.0809), O at (0.0021, 0.7047, 0.6261) and O at (0.0422, 0.5422, 0.2500).

The uncorrected formation energy is -2995 meV/atom.


No. 6
A crystal of CaInPb2 relaxed with PBEsol. Source: Alexandria via LeMat-Bulk, functional meta-GGA SCAN.

It has space group Cm (No. 8), with a = 11.3928 Å, b = 3.6972 Å, c = 5.5448 Å, α = 90.00°, β = 105.78° and γ = 90.00°. The distinct sites, in fractional coordinates, are Ca at (0.0000, 0.0000, 0.0000), In at (0.2517, 0.0000, 0.7358), Pb at (0.0101, 0.5000, 0.5082) and Pb at (0.2585, 0.5000, 0.2511).

As for the formation energy: -31.32 kJ per mole of atoms.


No. 7
A crystal of Re2SiS relaxed with PBEsol. Source: Alexandria via LeMat-Bulk, functional meta-GGA SCAN.

It has space group Fm-3m (No. 225), with a = 5.9270 Å, b = 5.9270 Å, c = 5.9270 Å, α = 90.00°, β = 90.00° and γ = 90.00°. The distinct sites, in fractional coordinates, are Re at (0.2500, 0.2500, 0.2500), Si at (0.0000, 0.0000, 0.0000) and S at (0.0000, 0.0000, 0.5000).

Its energy above the most stable polymorph in this dataset is 0.000 eV per atom. The uncorrected formation energy is 288 meV/atom.


No. 8
A crystal of Li2NiSnO4 relaxed with PBEsol. Source: Alexandria via LeMat-Bulk, functional meta-GGA SCAN.

It has space group Imma (No. 74), with a = 6.0224 Å, b = 6.1253 Å, c = 8.3967 Å, α = 90.00°, β = 90.00° and γ = 90.00°. The distinct sites, in fractional coordinates, are Li at (0.0000, 0.0000, 0.0000), Li at (0.2500, 0.2500, 0.2500), Ni at (0.2500, 0.2500, 0.7500), Sn at (0.0000, 0.0000, 0.5000), O at (0.0000, 0.0146, 0.7429) and O at (0.2403, 0.2500, 0.4999).

The uncorrected formation energy is -1844 meV/atom.


What did the second record say?
A crystal of SrYRh3 relaxed with PBEsol. Source: Alexandria via LeMat-Bulk, functional meta-GGA SCAN.

It has space group Pm-3m (No. 221), with a = 4.8006 Å, b = 4.8006 Å, c = 4.8006 Å, α = 90.00°, β = 90.00° and γ = 90.00°. The distinct sites, in fractional coordinates, are Sr at (0.0000, 0.0000, 0.0000), Y at (0.5000, 0.5000, 0.5000) and Rh at (0.0000, 0.0000, 0.5000).

As for the formation energy: 99.86 kJ per mole of atoms.